AlNiSb2I (PBEsol, relaxed); energy relative to the elements, uncorrected = 99 kJ per mole of atoms; magnetization = 0.50 μB per formula unit
1.0
5.168 0.000 0.000
0.000 5.168 0.000
0.000 0.000 5.278
Al Ni Sb I
1 1 2 1
Direct
0.000 0.000 0.000 Al
0.500 0.500 0.500 Ni
0.000 0.500 0.000 Sb
0.500 0.000 0.000 Sb
0.000 0.000 0.500 I